## AgIrI2O (PBEsol)

Data for crystalline AgIrI2O at its relaxed geometry.

abc: 5.398 5.398 3.753
angles: 90.00 90.00 90.00
Fractional positions:
Ag  0.000  0.000  0.000
Ir  0.500  0.500  0.500
I  0.000  0.500  0.000
I  0.500  0.000  0.000
O  0.000  0.000  0.500

Results
DOS(E_F) ... 5.68 states/eV/cell
E_form (uncorrected) ... 1.113 eV per atom
Density ... 8.65 g/cm³
Size of the total moment ... 0.58 Bohr magnetons per cell
Space-group type ... P4/mmm (123)
Calculated total energy ... -0.2404 Ry/atom
E above lowest polymorph ... 1.093 eV/atom
Crystal system ... tetragonal

---

## Ni2Sn4Au (PBEsol)

Data for crystalline Ni2Sn4Au at its relaxed geometry.

abc: 9.162 9.162 9.162
angles: 26.60 26.60 26.60
Fractional positions:
Ni  0.099  0.099  0.099
Ni  0.901  0.901  0.901
Sn  0.200  0.200  0.200
Sn  0.389  0.389  0.389
Sn  0.611  0.611  0.611
Sn  0.800  0.800  0.800
Au  0.000  0.000  0.000

Results
DOS(E_F) ... 2.80 states/eV/cell
Density ... 9.65 g/cm³
Size of the total moment ... 0.00 Bohr magnetons per cell
Space-group type ... R-3m (166)
Calculated total energy ... -0.3683 Ry/atom
Crystal system ... trigonal

---

## AlGe2Mo2 (PBEsol)

Data for crystalline AlGe2Mo2 at its relaxed geometry.

abc: 5.915 5.915 5.915
angles: 139.17 139.17 59.12
Fractional positions:
Al  0.000  0.000  0.000
Ge  0.388  0.388  0.000
Ge  0.612  0.612  0.000
Mo  0.250  0.750  0.500
Mo  0.750  0.250  0.500

Results
DOS(E_F) ... 3.93 states/eV/cell
Density ... 6.90 g/cm³
Size of the total moment ... 0.00 Bohr magnetons per cell
Space-group type ... I4/mmm (139)
Calculated total energy ... -0.5243 Ry/atom
Crystal system ... tetragonal